Computed, not measured: a relaxed structure of Mn2Fe2Ru at the GGA-PBE level of DFT.

Properties
Formation energy from the elements in eV per atom: 0.0613
Offset from the most stable computed form in meV per atom: 0.0
Crystal system: triclinic
Final energy in eV/cell: -88.5

Cell: 2.5483 6.4832 7.7958 Å, 71.58 80.52 66.80°
Element x y z (fractional)
Ru 0.5971 0.0193 0.2674
Mn 0.5898 0.1937 0.9338
Fe 0.0022 0.5822 0.3313
Ru 0.4029 0.9807 0.7326
Mn 0.4102 0.8063 0.0662
Mn 0.2149 0.7667 0.5372
Fe 0.9978 0.4178 0.6687
Fe 0.2080 0.6082 0.8678
Fe 0.7920 0.3918 0.1322
Mn 0.7851 0.2333 0.4628